Computed, not measured: LaLuCo after structural relaxation at the PBE-GGA level of DFT.

Unit cell a=6.616 b=6.616 c=6.616 alpha=90.00 beta=90.00 gamma=90.00
Space group F-43m (No. 216)
Unique sites:
1 La 0.000 0.000 0.000 [4 per cell]
2 Lu 0.250 0.250 0.750 [4 per cell]
3 Co 0.000 0.000 0.500 [4 per cell]

Computed properties:
M_tot = 0.0 μB/f.u.
calculated formation energy = 0.679 eV per atom
offset from the most stable computed form = 0 meV/atom